La5Pr4Sc, relaxed, DFT PBE; raw total energy = -4.91 eV per atom; energy relative to the lowest polymorph listed for this composition = 44.7 meV per atom
1.0
4.304 0.000 0.000
0.000 4.304 0.000
0.000 0.000 19.070
La Pr Sc
5 4 1
direct
0.000 0.000 0.000
0.000 0.000 0.200
0.000 0.000 0.409
0.000 0.000 0.591
0.000 0.000 0.800
0.500 0.500 0.101
0.500 0.500 0.301
0.500 0.500 0.699
0.500 0.500 0.899
0.500 0.500 0.500


La5Pr12Sc2, relaxed, DFT PBE; raw total energy = -4.82 eV per atom; energy relative to the lowest polymorph listed for this composition = 24.9 meV per atom
1.0
9.337 -4.050 0.000
9.337 4.050 0.000
-3.568 0.000 8.971
La Pr Sc
5 12 2
direct
0.000 0.000 0.000
0.225 0.225 0.726
0.311 0.311 0.303
0.689 0.689 0.697
0.775 0.775 0.274
0.040 0.040 0.676
0.072 0.633 0.625
0.094 0.603 0.021
0.367 0.928 0.375
0.397 0.906 0.979
0.479 0.479 0.819
0.521 0.521 0.181
0.603 0.094 0.021
0.633 0.072 0.625
0.906 0.397 0.979
0.928 0.367 0.375
0.960 0.960 0.324
0.330 0.670 0.500
0.670 0.330 0.500


La2Pr15Sc2, relaxed, DFT PBE; raw total energy = -4.72 eV per atom
1.0
5.746 3.317 6.039
-5.746 3.317 6.039
0.000 -6.635 6.039
La Pr Sc
2 15 2
direct
0.184 0.184 0.184
0.816 0.816 0.816
0.000 0.500 0.500
0.131 0.131 0.651
0.131 0.651 0.131
0.210 0.500 0.790
0.210 0.790 0.500
0.349 0.869 0.869
0.500 0.000 0.500
0.500 0.210 0.790
0.500 0.500 0.000
0.500 0.790 0.210
0.651 0.131 0.131
0.790 0.210 0.500
0.790 0.500 0.210
0.869 0.349 0.869
0.869 0.869 0.349
0.411 0.411 0.411
0.589 0.589 0.589


La5Pr5Sc2, relaxed, DFT PBE; raw total energy = -5.06 eV per atom
1.0
7.810 -2.567 0.000
7.810 2.567 0.000
-5.212 0.000 10.268
La Pr Sc
5 5 2
direct
0.000 0.000 0.000
0.078 0.078 0.749
0.168 0.168 0.500
0.832 0.832 0.500
0.922 0.922 0.251
0.245 0.245 0.248
0.337 0.337 0.001
0.500 0.500 0.500
0.663 0.663 0.999
0.755 0.755 0.752
0.416 0.416 0.749
0.584 0.584 0.251


La2Pr2Sc, relaxed, DFT PBE; raw total energy = -5.03 eV per atom; energy relative to the lowest polymorph listed for this composition = 0.0 meV per atom
1.0
4.883 -4.047 0.000
4.883 4.047 0.000
-4.038 0.000 8.529
La Pr Sc
4 4 2
direct
0.038 0.717 0.851
0.283 0.962 0.649
0.717 0.038 0.351
0.962 0.283 0.149
0.282 0.397 0.520
0.397 0.282 0.020
0.603 0.718 0.980
0.718 0.603 0.480
0.218 0.782 0.250
0.782 0.218 0.750


LaPr12Sc3, relaxed, DFT PBE; raw total energy = -5.04 eV per atom
1.0
5.125 0.000 0.000
0.000 5.125 0.000
0.000 0.000 20.568
La Pr Sc
1 12 3
direct
0.000 0.000 0.000
0.000 0.500 0.132
0.000 0.500 0.377
0.000 0.500 0.623
0.000 0.500 0.868
0.500 0.000 0.132
0.500 0.000 0.377
0.500 0.000 0.623
0.500 0.000 0.868
0.500 0.500 0.000
0.500 0.500 0.255
0.500 0.500 0.500
0.500 0.500 0.745
0.000 0.000 0.254
0.000 0.000 0.500
0.000 0.000 0.746


La4Pr3Sc2, relaxed, DFT PBE; raw total energy = -5.09 eV per atom
1.0
6.473 -1.846 0.000
6.473 1.846 0.000
-6.092 0.000 13.004
La Pr Sc
4 3 2
direct
0.219 0.219 0.372
0.272 0.272 0.881
0.728 0.728 0.119
0.781 0.781 0.628
0.000 0.000 0.500
0.008 0.008 0.886
0.992 0.992 0.114
0.455 0.455 0.294
0.545 0.545 0.706


La3Pr12Sc, relaxed, DFT PBE; raw total energy = -4.88 eV per atom
1.0
5.223 0.000 0.000
0.000 5.223 0.000
0.000 0.000 20.859
La Pr Sc
3 12 1
direct
0.000 0.000 0.000
0.000 0.000 0.254
0.000 0.000 0.746
0.000 0.500 0.127
0.000 0.500 0.381
0.000 0.500 0.619
0.000 0.500 0.873
0.500 0.000 0.127
0.500 0.000 0.381
0.500 0.000 0.619
0.500 0.000 0.873
0.500 0.500 0.000
0.500 0.500 0.255
0.500 0.500 0.500
0.500 0.500 0.745
0.000 0.000 0.500


Number 5 is which compound? La2Pr2Sc


Which of these has the highest raw total energy? La2Pr15Sc2


Look up the raw total energy of the second one. -4.82 eV per atom